The following is a PBE calculation of a relaxed structure of La2TiGe2, from Alexandria.

Calculated values
E above lowest polymorph = 700 meV per atom
Formation energy from the elements = 0.083 eV per atom
E = -5.31 eV per atom
M_tot = 3.22 μB/f.u.

Unit cell a=3.8222 b=3.8222 c=10.0662 alpha=79.06 beta=79.06 gamma=90.00
Each line ends with the local moment (μB).
Positions (direct):
Ge1 0.7500 0.2500 0.5000  0.01
Ge2 0.2500 0.7500 0.5000  0.01
Ti1 0.0000 0.0000 0.0000  1.62
La1 0.3885 0.3885 0.2230  0.19
La2 0.6115 0.6115 0.7770  0.19